{"formula": "NaHoFeO3", "functional": "GGA+U", "state": "optimized geometry", "total_magnetization_mub_per_fu": 0.00, "dft_energy_ev_per_atom": -6.3008, "cell": [[3.4727, 0.0000, 0.0000], [0.0000, 6.6375, 0.0984], [0.0000, -2.8455, 8.7457]], "species": ["O", "O", "O", "O", "O", "O", "Ho", "Ho", "Fe", "Fe", "Na", "Na"], "frac_coords": [[0.2500, 0.0905, 0.8501], [0.7500, 0.9095, 0.1499], [0.2500, 0.8752, 0.3941], [0.7500, 0.1248, 0.6059], [0.7500, 0.4399, 0.1130], [0.2500, 0.5601, 0.8870], [0.7500, 0.3289, 0.8557], [0.2500, 0.6711, 0.1443], [0.2500, 0.0004, 0.6235], [0.7500, 0.9996, 0.3765], [0.7500, 0.8303, 0.8750], [0.2500, 0.1697, 0.1250]]}

---

{"formula": "Na3Ho2FeO6", "functional": "GGA+U", "state": "optimized geometry", "total_magnetization_mub_per_fu": 4.94, "dft_energy_ev_per_atom": -6.4215, "cell": [[5.7075, -0.0049, 0.0072], [-2.8566, 4.9412, 0.0072], [-0.9439, -1.6344, 5.5401]], "species": ["Fe", "O", "O", "O", "O", "O", "O", "Ho", "Ho", "Na", "Na", "Na"], "frac_coords": [[0.0000, 0.0000, 0.0000], [0.6177, 0.9315, 0.7916], [0.2460, 0.2460, 0.7953], [0.9315, 0.6177, 0.7916], [0.0685, 0.3823, 0.2084], [0.3823, 0.0685, 0.2084], [0.7540, 0.7540, 0.2047], [0.6671, 0.3329, 0.0000], [0.3329, 0.6671, 0.0000], [0.1572, 0.8428, 0.5000], [0.8428, 0.1572, 0.5000], [0.5000, 0.5000, 0.5000]]}

---

{"formula": "Na4Ho3FeO8", "functional": "GGA+U", "state": "optimized geometry", "total_magnetization_mub_per_fu": 4.95, "dft_energy_ev_per_atom": -6.4944, "cell": [[-0.9896, -3.9330, -5.2678], [-3.3673, -4.3667, 3.8927], [-1.9143, 6.3633, -0.1963]], "species": ["O", "O", "O", "O", "O", "O", "O", "O", "Na", "Na", "Na", "Na", "Ho", "Ho", "Ho", "Fe"], "frac_coords": [[0.2276, 0.7075, 0.4552], [0.7724, 0.2925, 0.5448], [0.7525, 0.7075, 0.9800], [0.2275, 0.7075, 0.9800], [0.2628, 0.2884, 0.5255], [0.2475, 0.2925, 0.0200], [0.7372, 0.7116, 0.4745], [0.7725, 0.2925, 0.0200], [0.0000, 0.0000, 0.5000], [0.5000, 0.0000, 0.5000], [0.5000, 0.0000, 0.0000], [0.0000, 0.0000, 0.0000], [0.5000, 0.5000, 0.0000], [0.0000, 0.5000, 0.5000], [0.5000, 0.5000, 0.5000], [0.0000, 0.5000, 0.0000]]}

---

- Number 1 is which compound?
  NaHoFeO3